Record 1
Material: Co3CS
Method: DFT, GGA-PBE
State: relaxed

Structure (extended XYZ):
```
5
Lattice="3.785 0.000 0.000 0.000 3.785 0.000 0.000 0.000 3.785" Properties=species:S:1:pos:R:3 pbc="T T T"
Co 0.000 0.000 1.892
Co 0.000 1.892 0.000
Co 1.892 0.000 0.000
C 0.000 0.000 0.000
S 1.892 1.892 1.892
```

Values from the calculation:
The calculation puts the energy relative to the lowest polymorph listed for this composition at 0.00 eV per formula unit.

Record 2
Material: Cs2PuPa2Te6
Method: DFT, GGA-PBE
State: relaxed

Structure (extended XYZ):
```
11
Lattice="3.861 -6.700 0.000 3.861 6.700 0.000 -2.535 0.000 9.247" Properties=species:S:1:pos:R:3 pbc="T T T"
Cs 3.861 4.499 0.000
Cs 3.861 -4.499 0.000
Pu -1.267 0.000 4.623
Pa 2.594 2.237 4.623
Pa 2.594 -2.237 4.623
Te 0.054 2.275 6.392
Te 1.383 0.000 2.855
Te 0.054 -2.275 6.392
Te 5.133 2.275 2.855
Te 3.804 0.000 6.391
Te 5.133 -2.275 2.855
```

ΔE_f (raw) in kJ per mole of atoms, matching the order above: 32, -97
Calculated total energy in eV per atom, matching the order above: -6.599, -5.902